1.
CdHg2Br after structural relaxation. Source: the Alexandria database, functional PBE.

```
data_CdHg2Br
_symmetry_space_group_name_H-M 'C m m m'
_symmetry_Int_Tables_number 65
_symmetry_space_group_name_Hall '-C 2 2'
_cell_length_a 6.153
_cell_length_b 8.886
_cell_length_c 4.441
_cell_angle_alpha 90.00
_cell_angle_beta 90.00
_cell_angle_gamma 90.00
loop_
_atom_site_label
_atom_site_type_symbol
_atom_site_fract_x
_atom_site_fract_y
_atom_site_fract_z
Cd1 Cd 0.000 0.000 0.000
Hg1 Hg 0.000 0.220 0.500
Br1 Br 0.000 0.500 0.000
```

The value obtained for the density of states at the Fermi level is 0.97 states/eV/f.u. The value obtained for the total energy is -3.98 eV per formula unit. As for the offset from the most stable computed form: 0.0 kJ per mole of atoms.

2.
ZnCoSi4 after structural relaxation. Source: the Alexandria database, functional PBE.

```
data_ZnCoSi4
_symmetry_space_group_name_H-M 'F -4 3 m'
_symmetry_Int_Tables_number 216
_symmetry_space_group_name_Hall 'F -4 2 3'
_cell_length_a 7.020
_cell_length_b 7.020
_cell_length_c 7.020
_cell_angle_alpha 90.00
_cell_angle_beta 90.00
_cell_angle_gamma 90.00
loop_
_atom_site_label
_atom_site_type_symbol
_atom_site_fract_x
_atom_site_fract_y
_atom_site_fract_z
Zn1 Zn 0.000 0.000 0.000
Co1 Co 0.250 0.250 0.750
Si1 Si 0.125 0.125 0.375
```

The value obtained for the density of states at the Fermi level is 4.50 states/eV/f.u. The value obtained for the total energy is -26.80 eV per formula unit.

3.
RbBH2 after structural relaxation. Source: the Alexandria database, functional PBE.

```
data_RbBH2
_symmetry_space_group_name_H-M 'P 1'
_symmetry_Int_Tables_number 1
_symmetry_space_group_name_Hall 'P 1'
_cell_length_a 3.239
_cell_length_b 4.011
_cell_length_c 8.914
_cell_angle_alpha 90.78
_cell_angle_beta 99.06
_cell_angle_gamma 90.03
loop_
_atom_site_label
_atom_site_type_symbol
_atom_site_fract_x
_atom_site_fract_y
_atom_site_fract_z
Rb1 Rb 0.000 0.000 0.000
Rb2 Rb 0.185 0.979 0.410
B1 B 0.366 0.464 0.743
B2 B 0.820 0.461 0.668
H1 H 0.439 0.489 0.884
H2 H 0.592 0.482 0.205
H3 H 0.593 0.730 0.705
H4 H 0.746 0.475 0.527
```

The value obtained for the total energy is -14.57 eV per formula unit. As for the offset from the most stable computed form: 0.8 kJ per mole of atoms.

4.
NaSrPr2Se4 after structural relaxation. Source: the Alexandria database, functional PBE.

```
data_NaSrPr2Se4
_symmetry_space_group_name_H-M 'P 1 2/m 1'
_symmetry_Int_Tables_number 10
_symmetry_space_group_name_Hall '-P 2y'
_cell_length_a 7.412
_cell_length_b 4.300
_cell_length_c 7.593
_cell_angle_alpha 90.00
_cell_angle_beta 109.05
_cell_angle_gamma 90.00
loop_
_atom_site_label
_atom_site_type_symbol
_atom_site_fract_x
_atom_site_fract_y
_atom_site_fract_z
Na1 Na 0.000 0.000 0.000
Sr1 Sr 0.500 0.500 0.000
Pr1 Pr 0.000 0.500 0.500
Pr2 Pr 0.500 0.000 0.500
Se1 Se 0.245 0.000 0.743
Se2 Se 0.252 0.500 0.259
```

The value obtained for the density of states at the Fermi level is 2.85 states/eV/f.u. The value obtained for the total energy is -40.97 eV per formula unit.

5.
InBrO2 after structural relaxation. Source: the Alexandria database, functional PBE.

```
data_InBrO2
_symmetry_space_group_name_H-M 'R -3 m'
_symmetry_Int_Tables_number 166
_symmetry_space_group_name_Hall '-R 3 2"'
_cell_length_a 3.4762
_cell_length_b 3.4762
_cell_length_c 19.5973
_cell_angle_alpha 90.00
_cell_angle_beta 90.00
_cell_angle_gamma 120.00
loop_
_atom_site_label
_atom_site_type_symbol
_atom_site_fract_x
_atom_site_fract_y
_atom_site_fract_z
In1 In 0.0000 0.0000 0.0000
Br1 Br 0.0000 0.0000 0.5000
O1 O 0.0000 0.0000 0.1159
```

The value obtained for the density of states at the Fermi level is 2.21 states/eV/f.u. The value obtained for the total energy is -12.62 eV per formula unit. As for the offset from the most stable computed form: 122.3 kJ per mole of atoms.

6.
VCrRhW after structural relaxation. Source: the Alexandria database, functional PBE.

```
data_VCrRhW
_symmetry_space_group_name_H-M 'F -4 3 m'
_symmetry_Int_Tables_number 216
_symmetry_space_group_name_Hall 'F -4 2 3'
_cell_length_a 6.083
_cell_length_b 6.083
_cell_length_c 6.083
_cell_angle_alpha 90.00
_cell_angle_beta 90.00
_cell_angle_gamma 90.00
loop_
_atom_site_label
_atom_site_type_symbol
_atom_site_fract_x
_atom_site_fract_y
_atom_site_fract_z
V1 V 0.000 0.000 0.000
Cr1 Cr 0.000 0.000 0.500
Rh1 Rh 0.250 0.250 0.250
W1 W 0.250 0.250 0.750
```

The value obtained for the density of states at the Fermi level is 5.16 states/eV/f.u. The value obtained for the total energy is -39.07 eV per formula unit. As for the formation energy: 0.00 eV per atom.

7.
Tb2ThCdHg4 after structural relaxation. Source: the Alexandria database, functional PBE.

```
data_Tb2ThCdHg4
_symmetry_space_group_name_H-M 'R -3 m'
_symmetry_Int_Tables_number 166
_symmetry_space_group_name_Hall '-R 3 2"'
_cell_length_a 5.1181
_cell_length_b 5.1181
_cell_length_c 27.4343
_cell_angle_alpha 90.00
_cell_angle_beta 90.00
_cell_angle_gamma 120.00
loop_
_atom_site_label
_atom_site_type_symbol
_atom_site_fract_x
_atom_site_fract_y
_atom_site_fract_z
Tb1 Tb 0.0000 0.0000 0.2401
Th1 Th 0.0000 0.0000 0.0000
Cd1 Cd 0.0000 0.0000 0.5000
Hg1 Hg 0.0000 0.0000 0.1249
Hg2 Hg 0.0000 0.0000 0.3783
```

The value obtained for the density of states at the Fermi level is 6.78 states/eV/f.u. The value obtained for the total energy is -21.49 eV per formula unit. As for the formation energy: -0.34 eV per atom.

8.
Ca3PrU2As6 after structural relaxation. Source: the Alexandria database, functional PBE.

```
data_Ca3PrU2As6
_symmetry_space_group_name_H-M 'C 1 2/m 1'
_symmetry_Int_Tables_number 12
_symmetry_space_group_name_Hall '-C 2y'
_cell_length_a 7.308
_cell_length_b 12.655
_cell_length_c 7.270
_cell_angle_alpha 90.00
_cell_angle_beta 109.62
_cell_angle_gamma 90.00
loop_
_atom_site_label
_atom_site_type_symbol
_atom_site_fract_x
_atom_site_fract_y
_atom_site_fract_z
Ca1 Ca 0.000 0.000 0.000
Ca2 Ca 0.000 0.337 0.000
Pr1 Pr 0.000 0.500 0.500
U1 U 0.000 0.167 0.500
As1 As 0.230 0.000 0.733
As2 As 0.248 0.174 0.267
```

The value obtained for the density of states at the Fermi level is 12.28 states/eV/f.u. The value obtained for the total energy is -74.31 eV per formula unit. As for the formation energy: -1.09 eV per atom.